Entry 1:
# YAgSbI2, relaxed, DFT PBE
data_YAgSbI2
_chemical_formula_sum 'Y1 Ag1 Sb1 I2'
_cell_length_a 5.479
_cell_length_b 5.479
_cell_length_c 5.657
_cell_angle_alpha 90.00
_cell_angle_beta 90.00
_cell_angle_gamma 90.00
_symmetry_space_group_name_H-M 'P 4/m m m'
_symmetry_Int_Tables_number 123
_symmetry_space_group_name_Hall '-P 4 2'
loop_
_atom_site_label
_atom_site_type_symbol
_atom_site_fract_x
_atom_site_fract_y
_atom_site_fract_z
Y1 Y 0.000 0.000 0.000
Ag1 Ag 0.500 0.500 0.500
Sb1 Sb 0.500 0.500 0.000
I1 I 0.000 0.500 0.500
# ΔE to the lowest computed polymorph: 111 kJ/mol of formula units
# D(E_F): 3.681 states/eV per cell
# E_form (uncorrected): 0.109 eV per atom


Entry 2:
# Pu6Ge3Ru, relaxed, DFT PBE
data_Pu6Ge3Ru
_chemical_formula_sum 'Pu36 Ge18 Ru6'
_cell_length_a 9.7047
_cell_length_b 9.7047
_cell_length_c 15.8110
_cell_angle_alpha 90.00
_cell_angle_beta 90.00
_cell_angle_gamma 120.00
_symmetry_space_group_name_H-M 'R -3 m'
_symmetry_Int_Tables_number 166
_symmetry_space_group_name_Hall '-R 3 2"'
loop_
_atom_site_label
_atom_site_type_symbol
_atom_site_fract_x
_atom_site_fract_y
_atom_site_fract_z
Pu1 Pu 0.0928 0.5464 0.0633
Pu2 Pu 0.1089 0.2178 0.1580
Ge1 Ge 0.0076 0.5038 0.6256
Ru1 Ru 0.0000 0.0000 0.0000
Ru2 Ru 0.0000 0.0000 0.5000
# formation energy: -1.6 eV per formula unit
# D(E_F): 151.923 states/eV per cell


Entry 3:
# LaBiPbN, relaxed, DFT PBE
data_LaBiPbN
_chemical_formula_sum 'La2 Bi2 Pb2 N2'
_cell_length_a 3.638
_cell_length_b 3.638
_cell_length_c 15.632
_cell_angle_alpha 90.00
_cell_angle_beta 90.00
_cell_angle_gamma 90.00
_symmetry_space_group_name_H-M 'I 4 m m'
_symmetry_Int_Tables_number 107
_symmetry_space_group_name_Hall 'I 4 -2'
loop_
_atom_site_label
_atom_site_type_symbol
_atom_site_fract_x
_atom_site_fract_y
_atom_site_fract_z
La1 La 0.000 0.000 0.000
Bi1 Bi 0.000 0.000 0.342
Pb1 Pb 0.000 0.000 0.668
N1 N 0.000 0.000 0.501
# D(E_F): 4.938 states/eV per cell
# E_form (uncorrected): -0.481 eV per atom


Entry 4:
# Nb3Ga4Ni, relaxed, DFT PBE
data_Nb3Ga4Ni
_chemical_formula_sum 'Nb6 Ga8 Ni2'
_cell_length_a 8.917
_cell_length_b 5.133
_cell_length_c 5.523
_cell_angle_alpha 90.00
_cell_angle_beta 90.00
_cell_angle_gamma 90.00
_symmetry_space_group_name_H-M 'P m n 21'
_symmetry_Int_Tables_number 31
_symmetry_space_group_name_Hall 'P 2ac -2'
loop_
_atom_site_label
_atom_site_type_symbol
_atom_site_fract_x
_atom_site_fract_y
_atom_site_fract_z
Nb1 Nb 0.000 0.223 0.000
Nb2 Nb 0.224 0.477 0.497
Ga1 Ga 0.000 0.111 0.503
Ga2 Ga 0.000 0.697 0.794
Ga3 Ga 0.240 0.985 0.255
Ni1 Ni 0.000 0.711 0.242
# formation energy: -2.1 eV per formula unit
# D(E_F): 9.254 states/eV per cell


Entry 5:
# TiBN2F, relaxed, DFT PBE
data_TiBN2F
_chemical_formula_sum 'Ti1 B1 N2 F1'
_cell_length_a 3.946
_cell_length_b 3.946
_cell_length_c 3.890
_cell_angle_alpha 90.00
_cell_angle_beta 90.00
_cell_angle_gamma 90.00
_symmetry_space_group_name_H-M 'P 4/m m m'
_symmetry_Int_Tables_number 123
_symmetry_space_group_name_Hall '-P 4 2'
loop_
_atom_site_label
_atom_site_type_symbol
_atom_site_fract_x
_atom_site_fract_y
_atom_site_fract_z
Ti1 Ti 0.000 0.000 0.000
B1 B 0.500 0.500 0.500
N1 N 0.000 0.500 0.000
F1 F 0.000 0.000 0.500
# ΔE to the lowest computed polymorph: 364 kJ/mol of formula units
# D(E_F): 3.021 states/eV per cell
# E_form (uncorrected): 0.452 eV per atom


Entry 6:
# La12TlSi5, relaxed, DFT PBE
data_La12TlSi5
_chemical_formula_sum 'La24 Tl2 Si10'
_cell_length_a 9.944
_cell_length_b 10.229
_cell_length_c 10.794
_cell_angle_alpha 90.00
_cell_angle_beta 90.00
_cell_angle_gamma 90.00
_symmetry_space_group_name_H-M 'I m m m'
_symmetry_Int_Tables_number 71
_symmetry_space_group_name_Hall '-I 2 2'
loop_
_atom_site_label
_atom_site_type_symbol
_atom_site_fract_x
_atom_site_fract_y
_atom_site_fract_z
La1 La 0.000 0.200 0.231
La2 La 0.206 0.500 0.181
La3 La 0.234 0.321 0.500
Tl1 Tl 0.000 0.000 0.500
Si1 Si 0.000 0.000 0.000
Si2 Si 0.000 0.380 0.000
Si3 Si 0.000 0.500 0.389
# D(E_F): 34.789 states/eV per cell
# E_form (uncorrected): -0.490 eV per atom


Entry 7:
# AcVP2N6, relaxed, DFT PBE
data_AcVP2N6
_chemical_formula_sum 'Ac4 V4 P8 N24'
_cell_length_a 9.555
_cell_length_b 10.752
_cell_length_c 5.472
_cell_angle_alpha 90.00
_cell_angle_beta 108.99
_cell_angle_gamma 90.00
_symmetry_space_group_name_H-M 'C 1 2/c 1'
_symmetry_Int_Tables_number 15
_symmetry_space_group_name_Hall '-C 2yc'
loop_
_atom_site_label
_atom_site_type_symbol
_atom_site_fract_x
_atom_site_fract_y
_atom_site_fract_z
Ac1 Ac 0.000 0.156 0.250
V1 V 0.000 0.304 0.750
P1 P 0.249 0.421 0.166
N1 N 0.079 0.377 0.064
N2 N 0.143 0.201 0.730
N3 N 0.195 0.011 0.064
# E_form (uncorrected): -0.714 eV per atom


Entry 8:
# Ba2SrInRh, relaxed, DFT PBE
data_Ba2SrInRh
_chemical_formula_sum 'Ba2 Sr1 In1 Rh1'
_cell_length_a 5.965
_cell_length_b 5.965
_cell_length_c 5.829
_cell_angle_alpha 90.00
_cell_angle_beta 90.00
_cell_angle_gamma 90.00
_symmetry_space_group_name_H-M 'P 4/m m m'
_symmetry_Int_Tables_number 123
_symmetry_space_group_name_Hall '-P 4 2'
loop_
_atom_site_label
_atom_site_type_symbol
_atom_site_fract_x
_atom_site_fract_y
_atom_site_fract_z
Ba1 Ba 0.000 0.500 0.000
Sr1 Sr 0.000 0.000 0.500
In1 In 0.500 0.500 0.500
Rh1 Rh 0.000 0.000 0.000
# formation energy: -0.8 eV per formula unit
# ΔE to the lowest computed polymorph: 7 kJ/mol of formula units
# D(E_F): 7.783 states/eV per cell


Entry 9:
# RbLiCa2, relaxed, DFT PBE
data_RbLiCa2
_chemical_formula_sum 'Rb4 Li4 Ca8'
_cell_length_a 7.593
_cell_length_b 7.593
_cell_length_c 18.585
_cell_angle_alpha 90.00
_cell_angle_beta 90.00
_cell_angle_gamma 90.00
_symmetry_space_group_name_H-M 'I -4 2 d'
_symmetry_Int_Tables_number 122
_symmetry_space_group_name_Hall 'I -4 2bw'
loop_
_atom_site_label
_atom_site_type_symbol
_atom_site_fract_x
_atom_site_fract_y
_atom_site_fract_z
Rb1 Rb 0.000 0.000 0.000
Li1 Li 0.000 0.000 0.500
Ca1 Ca 0.001 0.750 0.625
# formation energy: 2.2 eV per formula unit
# D(E_F): 16.092 states/eV per cell


Entry 10:
# SrAc2Pr, relaxed, DFT PBE
data_SrAc2Pr
_chemical_formula_sum 'Sr1 Ac2 Pr1'
_cell_length_a 3.963
_cell_length_b 3.963
_cell_length_c 11.320
_cell_angle_alpha 90.00
_cell_angle_beta 90.00
_cell_angle_gamma 90.00
_symmetry_space_group_name_H-M 'P 4/m m m'
_symmetry_Int_Tables_number 123
_symmetry_space_group_name_Hall '-P 4 2'
loop_
_atom_site_label
_atom_site_type_symbol
_atom_site_fract_x
_atom_site_fract_y
_atom_site_fract_z
Sr1 Sr 0.000 0.000 0.000
Ac1 Ac 0.500 0.500 0.273
Pr1 Pr 0.000 0.000 0.500
# formation energy: 0.2 eV per formula unit
# ΔE to the lowest computed polymorph: 0 kJ/mol of formula units
# D(E_F): 5.870 states/eV per cell


Entry 11:
# LaGa9Ni2, relaxed, DFT PBE
data_LaGa9Ni2
_chemical_formula_sum 'La4 Ga36 Ni8'
_cell_length_a 12.875
_cell_length_b 10.476
_cell_length_c 7.517
_cell_angle_alpha 90.00
_cell_angle_beta 125.54
_cell_angle_gamma 90.00
_symmetry_space_group_name_H-M 'C 1 2/m 1'
_symmetry_Int_Tables_number 12
_symmetry_space_group_name_Hall '-C 2y'
loop_
_atom_site_label
_atom_site_type_symbol
_atom_site_fract_x
_atom_site_fract_y
_atom_site_fract_z
La1 La 0.248 0.000 0.373
Ga1 Ga 0.051 0.122 0.865
Ga2 Ga 0.051 0.378 0.737
Ga3 Ga 0.127 0.301 0.192
Ga4 Ga 0.128 0.199 0.564
Ga5 Ga 0.249 0.500 0.125
Ni1 Ni 0.000 0.000 0.500
Ni2 Ni 0.000 0.500 0.000
Ni3 Ni 0.250 0.250 0.000
# formation energy: -3.5 eV per formula unit
# ΔE to the lowest computed polymorph: 20 kJ/mol of formula units
# D(E_F): 21.368 states/eV per cell


Entry 12:
# MgSi2N, relaxed, DFT PBE
data_MgSi2N
_chemical_formula_sum 'Mg4 Si8 N4'
_cell_length_a 6.173
_cell_length_b 6.173
_cell_length_c 6.173
_cell_angle_alpha 90.00
_cell_angle_beta 90.00
_cell_angle_gamma 90.00
_symmetry_space_group_name_H-M 'F m -3 m'
_symmetry_Int_Tables_number 225
_symmetry_space_group_name_Hall '-F 4 2 3'
loop_
_atom_site_label
_atom_site_type_symbol
_atom_site_fract_x
_atom_site_fract_y
_atom_site_fract_z
Mg1 Mg 0.000 0.000 0.000
Si1 Si 0.250 0.250 0.250
N1 N 0.000 0.000 0.500
# ΔE to the lowest computed polymorph: 407 kJ/mol of formula units
# D(E_F): 7.369 states/eV per cell
# E_form (uncorrected): 1.299 eV per atom


These records have E_tot values of -3.1985, -11.0707, -5.6913, -6.2808, -6.1673, -5.4125, -8.1136, -3.2894, -1.1682, -3.6268, -3.9369, -3.8926 eV/atom, in the order they appear.